Entry from OQMD: a relaxed structure of Na2CoH8C2O10 (GGA+U).

Cell: 5.5092 5.5092 14.1704 Å, 96.31 96.31 78.58°
Each line ends with the local moment (μB).
Atoms (fractional coordinates):
C: 0.4811 0.9620 0.2110  0.00
C: 0.0380 0.5189 0.2890  0.00
C: 0.9620 0.4811 0.7110  0.00
C: 0.5189 0.0380 0.7890  0.00
Co: 0.0415 0.9585 0.2500  2.71
Co: 0.9585 0.0415 0.7500  2.71
H: 0.2101 0.1046 0.0472  0.00
H: 0.7544 0.8741 0.0620  0.00
H: 0.6475 0.2538 0.1260  0.00
H: 0.7970 0.4680 0.1342  0.00
H: 0.5320 0.2030 0.3659  0.00
H: 0.7462 0.3525 0.3740  0.00
H: 0.1259 0.2456 0.4380  0.00
H: 0.8954 0.7899 0.4528  0.00
H: 0.1046 0.2101 0.5472  0.00
H: 0.8741 0.7544 0.5620  0.00
H: 0.2538 0.6475 0.6260  0.00
H: 0.4680 0.7970 0.6341  0.00
H: 0.2030 0.5320 0.8659  0.00
H: 0.3525 0.7462 0.8740  0.00
H: 0.2456 0.1259 0.9380  0.00
H: 0.7899 0.8954 0.9528  0.00
Na: 0.2436 0.5938 0.0591  0.00
Na: 0.4062 0.7564 0.4409  0.00
Na: 0.5938 0.2436 0.5591  0.00
Na: 0.7564 0.4062 0.9409  0.00
O: 0.8377 0.7880 0.0061  0.00
O: 0.6515 0.4098 0.0981  0.00
O: 0.2844 0.9615 0.1503  0.04
O: 0.6874 0.9903 0.1811  0.03
O: 0.0612 0.5428 0.2017  0.04
O: 0.4572 0.9388 0.2983  0.03
O: 0.0097 0.3126 0.3189  0.03
O: 0.0385 0.7156 0.3497  0.05
O: 0.5902 0.3485 0.4019  0.00
O: 0.2120 0.1623 0.4939  0.00
O: 0.7880 0.8377 0.5061  0.00
O: 0.4098 0.6515 0.5981  0.00
O: 0.9615 0.2844 0.6503  0.05
O: 0.9903 0.6874 0.6811  0.03
O: 0.5428 0.0612 0.7017  0.03
O: 0.9388 0.4572 0.7983  0.04
O: 0.3126 0.0097 0.8189  0.03
O: 0.7156 0.0385 0.8497  0.04
O: 0.3485 0.5902 0.9019  0.00
O: 0.1623 0.2120 0.9939  0.00

Crystal system: monoclinic

Entry from OQMD: a relaxed structure of Co3H2C8O10 (GGA+U).

Cell: 7.8323 7.8323 5.3560 Å, 90.41 90.41 111.55°
Each line ends with the local moment (μB).
Atoms (fractional coordinates):
C: 0.5710 0.0479 0.3355  0.00
C: 0.0479 0.5710 0.3355  0.00
C: 0.3868 0.0182 0.4259  0.00
C: 0.0182 0.3868 0.4259  0.00
C: 0.9818 0.6132 0.5741  0.00
C: 0.6132 0.9818 0.5741  0.00
C: 0.9521 0.4290 0.6645  0.00
C: 0.4290 0.9521 0.6645  0.00
Co: 0.8893 0.1107 0.0000  2.47
Co: 0.1107 0.8893 0.0000  2.47
Co: 0.0000 0.0000 0.5000  1.96
H: 0.5278 0.5278 0.4472  0.00
H: 0.4722 0.4722 0.5528  0.00
O: 0.6536 0.1096 0.1381  -0.01
O: 0.1096 0.6536 0.1381  -0.01
O: 0.9077 0.9077 0.1962  -0.01
O: 0.2485 0.0402 0.3315  0.02
O: 0.0402 0.2485 0.3315  0.02
O: 0.9598 0.7515 0.6685  0.02
O: 0.7515 0.9598 0.6685  0.02
O: 0.0923 0.0923 0.8038  -0.01
O: 0.8904 0.3464 0.8619  -0.01
O: 0.3464 0.8904 0.8619  -0.01

Crystal system: monoclinic

Entry from OQMD: a relaxed structure of CoH6C4O6 (GGA+U).

Cell: 4.9830 7.4745 8.8686 Å, 90.00 108.71 90.00°
Each line ends with the local moment (μB).
Atoms (fractional coordinates):
C: 0.7803 0.6959 0.1292  0.00
C: 0.0860 0.7251 0.2269  0.00
C: 0.9140 0.2251 0.2731  0.00
C: 0.2197 0.1959 0.3708  0.00
C: 0.7803 0.8041 0.6292  0.00
C: 0.0860 0.7749 0.7269  0.00
C: 0.9140 0.2749 0.7731  0.00
C: 0.2197 0.3041 0.8708  0.00
Co: 0.0000 0.0000 0.0000  2.73
Co: 0.0000 0.5000 0.5000  2.73
H: 0.4921 0.1831 0.0644  0.00
H: 0.7399 0.5519 0.1090  0.00
H: 0.6481 0.7450 0.1991  0.00
H: 0.3519 0.2450 0.3009  0.00
H: 0.2601 0.0519 0.3910  0.00
H: 0.5079 0.6831 0.4356  0.00
H: 0.4921 0.3169 0.5644  0.00
H: 0.7399 0.9481 0.6090  0.00
H: 0.6481 0.7550 0.6991  0.00
H: 0.3519 0.2550 0.8009  0.00
H: 0.2601 0.4481 0.8910  0.00
H: 0.5079 0.8169 0.9356  0.00
O: 0.2806 0.2098 0.0176  0.04
O: 0.8071 0.1317 0.1468  0.03
O: 0.2304 0.8419 0.1841  0.04
O: 0.7696 0.3419 0.3159  0.04
O: 0.1929 0.6317 0.3532  0.03
O: 0.7194 0.7098 0.4824  0.04
O: 0.2806 0.2902 0.5176  0.04
O: 0.8071 0.3683 0.6468  0.03
O: 0.2304 0.6581 0.6841  0.04
O: 0.7696 0.1581 0.8159  0.04
O: 0.1930 0.8683 0.8532  0.03
O: 0.7194 0.7902 0.9824  0.04

Crystal system: monoclinic

Final energy values, unit eV for the cell shown, following the record order: -264.2 -158.2 -210.8.